Entry a
First-principles (PBE-GGA) data for a relaxed AcInNi crystal, as listed in the Alexandria database.

Structure (extended XYZ):
```
3
Lattice="-1.748 1.748 5.989 1.748 -1.748 5.989 1.748 1.748 -5.989" Properties=species:S:1:pos:R:3 pbc="T T T"
Ac 0.000 0.000 0.000
In 0.000 0.000 3.336
Ni 0.000 0.000 7.990
```

Calculated values
The density of states at the Fermi level is 3.49 states/eV/cell.

Entry b
First-principles (PBE-GGA) data for a relaxed AcInNi crystal, as listed in the Alexandria database.

Structure (extended XYZ):
```
6
Lattice="5.656 -2.162 0.000 5.656 2.162 0.000 -4.371 0.000 6.169" Properties=species:S:1:pos:R:3 pbc="T T T"
Ac -0.646 0.000 1.996
Ac 7.586 0.000 4.173
In -0.549 0.000 5.596
In 7.488 0.000 0.573
Ni 2.763 0.000 2.030
Ni 4.177 0.000 4.138
```

Calculated values
The density of states at the Fermi level is 4.46 states/eV/cell.

It comes down to entry b, which is 23.9 kJ/mol of atoms more stable than the next structure.